# 1
The following is a DFT calculation (PBE) of an optimized crystal structure of Tb2SmTcN4.

Size of the total moment in μB per formula unit: 0.0
Crystal system: orthorhombic
Formation energy without anion corrections in eV/atom: -1.0687
Space group: No. 63

Unit cell a=6.109 b=6.109 c=11.660 alpha=90.00 beta=90.00 gamma=147.15
Element x y z (fractional)
Tb: 0.132 0.868 0.540
Tb: 0.132 0.868 0.960
Tb: 0.868 0.132 0.040
Tb: 0.868 0.132 0.460
Sm: 0.374 0.626 0.750
Sm: 0.626 0.374 0.250
Tc: 0.361 0.639 0.250
Tc: 0.639 0.361 0.750
N: 0.058 0.942 0.750
N: 0.235 0.765 0.130
N: 0.235 0.765 0.370
N: 0.500 0.500 0.000
N: 0.500 0.500 0.500
N: 0.765 0.235 0.630
N: 0.765 0.235 0.870
N: 0.942 0.058 0.250

---

# 2
The following is a DFT calculation (PBE) of an optimized crystal structure of CeGdDy2.

Size of the total moment in μB per formula unit: 6.7
Crystal system: tetragonal
Space group: No. 123
Excess energy over the best structure of this formula in the dataset in eV per atom: 0.000

Unit cell a=3.535 b=3.535 c=10.029 alpha=90.00 beta=90.00 gamma=90.00
Element x y z (fractional)
Ce: 0.000 0.000 0.000
Gd: 0.000 0.000 0.500
Dy: 0.500 0.500 0.244
Dy: 0.500 0.500 0.756

---

# 3
The following is a DFT calculation (PBE) of an optimized crystal structure of Li2ScAlGe2.

Energy in Ha/atom: -0.1603
Size of the total moment in μB per formula unit: 0.0
Crystal system: orthorhombic
Space group: No. 26

Unit cell a=4.071 b=7.902 c=6.719 alpha=90.00 beta=90.00 gamma=90.00
Element x y z (fractional)
Li: 0.000 0.082 0.000
Li: 0.000 0.918 0.500
Li: 0.500 0.175 0.318
Li: 0.500 0.825 0.818
Sc: 0.500 0.439 0.943
Sc: 0.500 0.561 0.443
Al: 0.000 0.309 0.614
Al: 0.000 0.691 0.114
Ge: 0.000 0.376 0.229
Ge: 0.000 0.624 0.729
Ge: 0.500 0.145 0.719
Ge: 0.500 0.855 0.219

---

# 4
The following is a DFT calculation (PBE) of an optimized crystal structure of SbMo2Cl.

Size of the total moment in μB per formula unit: 0.0
Crystal system: monoclinic
Formation energy without anion corrections in eV/atom: 0.5247
Space group: No. 12
Excess energy over the best structure of this formula in the dataset in eV per atom: 0.624

Unit cell a=4.499 b=4.499 c=5.652 alpha=101.15 beta=101.15 gamma=39.55
Element x y z (fractional)
Sb: 0.000 0.000 0.000
Mo: 0.251 0.251 0.703
Mo: 0.749 0.749 0.297
Cl: 0.500 0.500 0.500

---

size of the total moment of number 1 (Tb2SmTcN4)? 0.0 μB per formula unit